Compound: CaP2Br
Source: Alexandria
Functional: PBE
Structure: optimized geometry

a = 3.8116 Å, b = 3.8148 Å, c = 6.1436 Å
α = 90.00°, β = 90.00°, γ = 90.00°
Last column: nearest neighbours and their distance in Å.
Element x y z (fractional)
Ca: 0.0000 0.5000 0.5000  4 Br 2.70
Br: 0.5000 0.0000 0.5000  4 Ca 2.70
P: 0.0000 0.0000 0.0000  4 P 2.70
P: 0.5000 0.5000 0.0000  4 P 2.70

**DFT total energy**: -16.01 eV per cell
**Excess energy over the best structure of this formula in the dataset**: 455 meV/atom
**SG**: P4/mmm, No. 123
**Formation energy from raw total energies**: -0.378 eV/atom

Compound: YSi2Ru4
Source: Alexandria
Functional: PBE
Structure: optimized geometry

a = 3.8725 Å, b = 7.5111 Å, c = 7.5111 Å
α = 90.00°, β = 90.00°, γ = 90.00°
Last column: nearest neighbours and their distance in Å.
Element x y z (fractional)
Ru: 0.0000 0.0790 0.3404  3 Si 2.41-2.50, 1 Ru 2.68
Ru: 0.0000 0.6596 0.9210  3 Si 2.41-2.50, 1 Ru 2.68
Ru: 0.0000 0.3404 0.0790  3 Si 2.41-2.50, 1 Ru 2.68
Ru: 0.0000 0.9210 0.6596  3 Si 2.41-2.50, 1 Ru 2.68
Ru: 0.5000 0.8404 0.4210  3 Si 2.41-2.50, 1 Ru 2.68
Ru: 0.5000 0.5790 0.1596  3 Si 2.41-2.50, 1 Ru 2.68
Ru: 0.5000 0.4210 0.8404  3 Si 2.41-2.50, 1 Ru 2.68
Ru: 0.5000 0.1596 0.5790  3 Si 2.41-2.50, 1 Ru 2.68
Si: 0.5000 0.2820 0.2820  6 Ru 2.41-2.50
Si: 0.5000 0.7180 0.7180  6 Ru 2.41-2.50
Si: 0.0000 0.2180 0.7820  6 Ru 2.41-2.50
Si: 0.0000 0.7820 0.2180  6 Ru 2.41-2.50
Y: 0.5000 0.0000 0.0000  6 Si 3.00-3.02, 8 Ru 3.26
Y: 0.0000 0.5000 0.5000  6 Si 3.00-3.02, 8 Ru 3.26

**DFT total energy**: -117.50 eV per cell
**SG**: P4_2/mnm, No. 136
**Formation energy from raw total energies**: -0.619 eV/atom

Compound: DyTmRu4
Source: Alexandria
Functional: PBE
Structure: optimized geometry

a = 5.3168 Å, b = 5.3168 Å, c = 5.3168 Å
α = 60.00°, β = 60.00°, γ = 60.00°
Last column: nearest neighbours and their distance in Å.
Element x y z (fractional)
Ru: 0.6251 0.6251 0.1247  6 Ru 2.66
Ru: 0.6251 0.1247 0.6251  6 Ru 2.66
Ru: 0.6251 0.6251 0.6251  6 Ru 2.66
Ru: 0.1247 0.6251 0.6251  6 Ru 2.66
Dy: 0.2500 0.2500 0.2500  12 Ru 3.12, 4 Tm 3.26
Tm: 0.0000 0.0000 0.0000  12 Ru 3.12, 4 Dy 3.26

**DFT total energy**: -48.13 eV per cell
**SG**: F-43m, No. 216

Compound: As2PdSeS
Source: Alexandria
Functional: PBE
Structure: optimized geometry

a = 4.8419 Å, b = 4.8419 Å, c = 4.9572 Å
α = 90.00°, β = 90.00°, γ = 90.00°
Last column: nearest neighbours and their distance in Å.
Element x y z (fractional)
As: 0.5000 0.0000 0.0000  2 Pd 2.42
As: 0.0000 0.5000 0.0000  2 Pd 2.42
Se: 0.0000 0.0000 0.5000  2 Pd 2.48
Pd: 0.0000 0.0000 0.0000  4 As 2.42, 2 Se 2.48
S: 0.5000 0.5000 0.5000  4 Se 3.42, 8 As 3.46

**DFT total energy**: -18.21 eV per cell
**Excess energy over the best structure of this formula in the dataset**: 0 meV/atom
**SG**: P4/mmm, No. 123
**Formation energy from raw total energies**: 0.780 eV/atom

Compound: NpFeTe
Source: Alexandria
Functional: PBE
Structure: optimized geometry

a = 4.7561 Å, b = 4.3029 Å, c = 6.5082 Å
α = 90.00°, β = 98.94°, γ = 90.00°
Last column: nearest neighbours and their distance in Å.
Element x y z (fractional)
Np: 0.8276 0.7500 0.3014  2 Fe 2.49-2.55
Np: 0.1724 0.2500 0.6986  2 Fe 2.49-2.55
Te: 0.7045 0.7500 0.8015  3 Fe 2.62-2.73
Te: 0.2955 0.2500 0.1985  3 Fe 2.62-2.73
Fe: 0.6522 0.2500 0.5702  2 Np 2.49-2.55, 3 Te 2.62-2.73, 2 Fe 2.67
Fe: 0.3478 0.7500 0.4298  2 Np 2.49-2.55, 3 Te 2.62-2.73, 2 Fe 2.67

**DFT total energy**: -50.22 eV per cell
**SG**: P2_1/m, No. 11
**Formation energy from raw total energies**: -0.188 eV/atom

Compound: SmDySeN
Source: Alexandria
Functional: PBE
Structure: optimized geometry

a = 3.7157 Å, b = 3.7157 Å, c = 6.9527 Å
α = 74.50°, β = 74.50°, γ = 60.00°
Last column: nearest neighbours and their distance in Å.
Element x y z (fractional)
Se: 0.7527 0.7527 0.7418  3 Dy 2.89, 3 Sm 2.95
Dy: 0.5173 0.5173 0.4482  3 N 2.48
N: 0.2462 0.2462 0.2613  3 Dy 2.48, 3 Sm 2.57
Sm: 0.9838 0.9838 0.0487  3 N 2.57

**DFT total energy**: -27.86 eV per cell
**SG**: R3m, No. 160
**Formation energy from raw total energies**: -1.681 eV/atom

Compound: LiTlInCl5
Source: Alexandria
Functional: PBE
Structure: optimized geometry

a = 7.6373 Å, b = 7.6373 Å, c = 9.0953 Å
α = 102.40°, β = 102.40°, γ = 103.11°
Last column: nearest neighbours and their distance in Å.
Element x y z (fractional)
Cl: 0.9162 0.3293 0.1149  1 In 2.41
Cl: 0.6707 0.0838 0.3851  1 In 2.41
Cl: 0.3293 0.9162 0.6149  1 In 2.41
Cl: 0.7447 0.6089 0.4494  1 In 2.38
Cl: 0.0596 0.9404 0.2500  2 Li 2.38
Cl: 0.3911 0.2553 0.0506  1 In 2.38
Cl: 0.0838 0.6707 0.8851  1 In 2.41
Cl: 0.6089 0.7447 0.9494  1 In 2.38
Cl: 0.9404 0.0596 0.7500  2 Li 2.38
Cl: 0.2553 0.3911 0.5506  1 In 2.38
Li: 0.0000 0.0000 0.5000  2 Cl 2.38
Li: 0.0000 0.0000 0.0000  2 Cl 2.38
In: 0.3238 0.6762 0.7500  4 Cl 2.38-2.41
In: 0.6762 0.3238 0.2500  4 Cl 2.38-2.41
Tl: 0.3024 0.6976 0.2500  1 Cl 2.90
Tl: 0.6976 0.3024 0.7500  1 Cl 2.90

**DFT total energy**: -52.28 eV per cell
**SG**: C2/c, No. 15
**Formation energy from raw total energies**: -1.236 eV/atom

Compound: ZrGa3Au3
Source: Alexandria
Functional: PBE
Structure: optimized geometry

a = 6.9618 Å, b = 6.9618 Å, c = 6.9618 Å
α = 90.00°, β = 90.00°, γ = 90.00°
Last column: nearest neighbours and their distance in Å.
Element x y z (fractional)
Au: 0.0000 0.2500 0.5000  4 Ga 2.46
Au: 0.0000 0.7500 0.5000  4 Ga 2.46
Au: 0.7500 0.5000 0.0000  4 Ga 2.46
Au: 0.5000 0.0000 0.2500  4 Ga 2.46
Au: 0.2500 0.5000 0.0000  4 Ga 2.46
Au: 0.5000 0.0000 0.7500  4 Ga 2.46
Ga: 0.0000 0.5000 0.2500  4 Au 2.46
Ga: 0.5000 0.7500 0.0000  4 Au 2.46
Ga: 0.2500 0.0000 0.5000  4 Au 2.46
Ga: 0.0000 0.5000 0.7500  4 Au 2.46
Ga: 0.7500 0.0000 0.5000  4 Au 2.46
Ga: 0.5000 0.2500 0.0000  4 Au 2.46
Zr: 0.5000 0.5000 0.5000  12 Au 3.89, 12 Ga 3.89
Zr: 0.0000 0.0000 0.0000  12 Au 3.89, 12 Ga 3.89

**DFT total energy**: -50.41 eV per cell
**SG**: Pm-3n, No. 223

Look up the DFT total energy of the fifth one. -50.22 eV per cell